TlCuTe2 after structural relaxation, computed with PBE.

Summary:
- crystal system = orthorhombic
- E_form (uncorrected) (eV per atom) = -0.10
- SG = Pnma (62)

abc: 8.019 4.815 12.089
angles: 90.00 90.00 90.00
Fractional positions:
1 Tl 0.156 0.250 0.135
2 Tl 0.344 0.750 0.635
3 Tl 0.656 0.250 0.365
4 Tl 0.844 0.750 0.865
5 Cu 0.035 0.750 0.354
6 Cu 0.465 0.250 0.854
7 Cu 0.535 0.750 0.146
8 Cu 0.965 0.250 0.646
9 Te 0.112 0.250 0.448
10 Te 0.135 0.250 0.830
11 Te 0.365 0.750 0.330
12 Te 0.388 0.750 0.948
13 Te 0.612 0.250 0.052
14 Te 0.635 0.250 0.670
15 Te 0.865 0.750 0.170
16 Te 0.888 0.750 0.552


Dy2AlIr after structural relaxation, computed with PBE.

Summary:
- crystal system = trigonal
- energy relative to the elements (meV/atom) = 193
- SG = R-3m (166)

abc: 10.272 10.272 10.272
angles: 18.00 18.00 18.00
Fractional positions:
1 Dy 0.086 0.086 0.086
2 Dy 0.914 0.914 0.914
3 Al 0.500 0.500 0.500
4 Ir 0.000 0.000 0.000


BaLiBS3 after structural relaxation, computed with PBE.

Summary:
- crystal system = monoclinic
- E_form (uncorrected) (eV per atom) = -1.28
- SG = P2_1/c (14)

abc: 7.686 8.754 8.798
angles: 90.00 116.35 90.00
Fractional positions:
1 Ba 0.185 0.131 0.309
2 Ba 0.185 0.369 0.809
3 Ba 0.815 0.631 0.191
4 Ba 0.815 0.869 0.691
5 Li 0.387 0.575 0.294
6 Li 0.387 0.925 0.794
7 Li 0.613 0.075 0.206
8 Li 0.613 0.425 0.706
9 B 0.272 0.659 0.580
10 B 0.272 0.841 0.080
11 B 0.728 0.159 0.920
12 B 0.728 0.341 0.420
13 S 0.118 0.673 0.012
14 S 0.118 0.827 0.512
15 S 0.215 0.015 0.953
16 S 0.215 0.485 0.453
17 S 0.487 0.656 0.788
18 S 0.487 0.844 0.288
19 S 0.513 0.156 0.712
20 S 0.513 0.344 0.212
21 S 0.785 0.515 0.547
22 S 0.785 0.985 0.047
23 S 0.882 0.173 0.488
24 S 0.882 0.327 0.988


Ca2Zn2Hg after structural relaxation, computed with PBE.

Summary:
- crystal system = tetragonal
- energy relative to the elements (meV/atom) = -131
- excess energy over the best structure of this formula in the dataset (meV per atom) = 200.5
- SG = P4/mbm (127)

abc: 8.548 8.548 3.757
angles: 90.00 90.00 90.00
Fractional positions:
1 Ca 0.178 0.322 0.000
2 Ca 0.322 0.822 0.000
3 Ca 0.678 0.178 0.000
4 Ca 0.822 0.678 0.000
5 Zn 0.110 0.610 0.500
6 Zn 0.390 0.110 0.500
7 Zn 0.610 0.890 0.500
8 Zn 0.890 0.390 0.500
9 Hg 0.000 0.000 0.000
10 Hg 0.500 0.500 0.000


Ho2ThTe4 after structural relaxation, computed with PBE.

Summary:
- crystal system = orthorhombic
- E_form (uncorrected) (eV per atom) = -1.22
- SG = Cmcm (63)

abc: 7.446 7.446 14.854
angles: 90.00 90.00 146.52
Fractional positions:
1 Ho 0.135 0.865 0.566
2 Ho 0.135 0.865 0.934
3 Ho 0.865 0.135 0.066
4 Ho 0.865 0.135 0.434
5 Th 0.374 0.626 0.750
6 Th 0.626 0.374 0.250
7 Te 0.039 0.961 0.750
8 Te 0.224 0.776 0.123
9 Te 0.224 0.776 0.377
10 Te 0.500 0.500 0.000
11 Te 0.500 0.500 0.500
12 Te 0.776 0.224 0.623
13 Te 0.776 0.224 0.877
14 Te 0.961 0.039 0.250


Cs2PuBr2F2 after structural relaxation, computed with PBE.

Summary:
- crystal system = tetragonal
- E_form (uncorrected) (eV per atom) = -2.26
- SG = I4/mmm (139)

abc: 9.949 9.949 9.949
angles: 150.98 150.98 41.50
Fractional positions:
1 Cs 0.134 0.134 0.000
2 Cs 0.866 0.866 0.000
3 Pu 0.500 0.500 0.000
4 Br 0.336 0.336 0.000
5 Br 0.664 0.664 0.000
6 F 0.000 0.500 0.500
7 F 0.500 0.000 0.500


Ac11Tl9In4 after structural relaxation, computed with PBE.

Summary:
- crystal system = orthorhombic
- energy relative to the elements (meV/atom) = -339
- SG = Cmmm (65)

abc: 13.785 13.785 4.726
angles: 90.00 90.00 111.79
Fractional positions:
1 Ac 0.000 0.000 0.000
2 Ac 0.068 0.411 0.000
3 Ac 0.174 0.826 0.000
4 Ac 0.275 0.275 0.000
5 Ac 0.364 0.636 0.000
6 Ac 0.411 0.068 0.000
7 Ac 0.589 0.932 0.000
8 Ac 0.636 0.364 0.000
9 Ac 0.725 0.725 0.000
10 Ac 0.826 0.174 0.000
11 Ac 0.932 0.589 0.000
12 Tl 0.050 0.207 0.500
13 Tl 0.149 0.626 0.500
14 Tl 0.207 0.050 0.500
15 Tl 0.374 0.851 0.500
16 Tl 0.500 0.500 0.500
17 Tl 0.626 0.149 0.500
18 Tl 0.793 0.950 0.500
19 Tl 0.851 0.374 0.500
20 Tl 0.950 0.793 0.500
21 In 0.253 0.446 0.500
22 In 0.446 0.253 0.500
23 In 0.554 0.747 0.500
24 In 0.747 0.554 0.500


Ge2PbI2 after structural relaxation, computed with PBE.

Summary:
- crystal system = tetragonal
- E_form (uncorrected) (eV per atom) = 0.17
- excess energy over the best structure of this formula in the dataset (meV per atom) = 117.2
- SG = P4/mbm (127)

abc: 7.709 7.709 5.044
angles: 90.00 90.00 90.00
Fractional positions:
1 Ge 0.123 0.377 0.000
2 Ge 0.377 0.877 0.000
3 Ge 0.623 0.123 0.000
4 Ge 0.877 0.623 0.000
5 Pb 0.000 0.000 0.000
6 Pb 0.500 0.500 0.000
7 I 0.185 0.685 0.500
8 I 0.315 0.185 0.500
9 I 0.685 0.815 0.500
10 I 0.815 0.315 0.500


TcP2Pt after structural relaxation, computed with PBE.

Summary:
- crystal system = orthorhombic
- energy relative to the elements (meV/atom) = 233
- excess energy over the best structure of this formula in the dataset (meV per atom) = 628.1
- SG = Cmmm (65)

abc: 2.907 2.907 8.073
angles: 90.00 90.00 119.29
Fractional positions:
1 Tc 0.000 0.000 0.000
2 P 0.500 0.500 0.234
3 P 0.500 0.500 0.766
4 Pt 0.000 0.000 0.500


Cu8NiPt2 after structural relaxation, computed with PBE.

Summary:
- crystal system = monoclinic
- energy relative to the elements (meV/atom) = -64
- SG = C2/m (12)

abc: 6.867 6.867 5.819
angles: 105.07 105.07 31.64
Fractional positions:
1 Cu 0.041 0.041 0.231
2 Cu 0.133 0.133 0.672
3 Cu 0.325 0.325 0.591
4 Cu 0.413 0.413 0.052
5 Cu 0.587 0.587 0.948
6 Cu 0.675 0.675 0.409
7 Cu 0.867 0.867 0.328
8 Cu 0.959 0.959 0.769
9 Ni 0.500 0.500 0.500
10 Pt 0.223 0.223 0.145
11 Pt 0.777 0.777 0.855


PIr5 after structural relaxation, computed with PBE.

Summary:
- crystal system = orthorhombic
- energy relative to the elements (meV/atom) = 151
- excess energy over the best structure of this formula in the dataset (meV per atom) = 82.7
- SG = Cmmm (65)

abc: 6.466 6.466 3.413
angles: 90.00 90.00 142.64
Fractional positions:
1 P 0.000 0.000 0.000
2 Ir 0.141 0.859 0.500
3 Ir 0.317 0.683 0.000
4 Ir 0.500 0.500 0.500
5 Ir 0.683 0.317 0.000
6 Ir 0.859 0.141 0.500


KTiN3 after structural relaxation, computed with PBE.

Summary:
- crystal system = cubic
- E_form (uncorrected) (eV per atom) = 0.37
- SG = Pm-3m (221)

abc: 4.063 4.063 4.063
angles: 90.00 90.00 90.00
Fractional positions:
1 K 0.000 0.000 0.000
2 Ti 0.500 0.500 0.500
3 N 0.000 0.500 0.500
4 N 0.500 0.000 0.500
5 N 0.500 0.500 0.000